1.
# Li2Mg3In

A relaxed structure of Li2Mg3In (GGA-PBE, Alexandria).

```
Li2Mg3In
1.0
2.379 -7.103 0.000
2.379 7.103 0.000
0.000 0.000 3.705
Li Mg In
2 3 1
Direct
0.161 0.839 0.000
0.839 0.161 0.000
0.000 0.000 0.500
0.326 0.674 0.500
0.674 0.326 0.500
0.500 0.500 0.000
```

Computed properties:
The calculation puts the electronic total energy at -12.020 eV per cell. The value obtained for the total magnetization is 0.000 μB/atom. The value obtained for the formation energy is -0.67 eV/f.u.

---

2.
# Li2MgIn7

A relaxed structure of Li2MgIn7 (GGA-PBE, Alexandria).

```
Li2MgIn7
1.0
2.294 1.325 13.853
-2.294 1.325 13.853
0.000 -2.649 13.853
Li Mg In
2 1 7
Direct
0.067 0.067 0.067
0.933 0.933 0.933
0.500 0.500 0.500
0.000 0.000 0.000
0.134 0.134 0.134
0.292 0.292 0.292
0.425 0.425 0.425
0.575 0.575 0.575
0.708 0.708 0.708
0.866 0.866 0.866
```

Computed properties:
The calculation puts the electronic total energy at -24.774 eV per cell. The value obtained for the total magnetization is 0.000 μB/atom. The value obtained for the formation energy is -0.18 eV/f.u.

---

3.
# Li2Mg3In6

A relaxed structure of Li2Mg3In6 (GGA-PBE, Alexandria).

```
Li2Mg3In6
1.0
1.657 0.957 26.886
-1.657 0.957 26.886
0.000 -1.913 26.886
Li Mg In
2 3 6
Direct
0.045 0.045 0.045
0.955 0.955 0.955
0.229 0.229 0.229
0.500 0.500 0.500
0.771 0.771 0.771
0.136 0.136 0.136
0.317 0.317 0.317
0.407 0.407 0.407
0.593 0.593 0.593
0.683 0.683 0.683
0.864 0.864 0.864
```

Computed properties:
Its offset from the most stable computed form is 0.000 eV/atom. The calculation puts the electronic total energy at -26.286 eV per cell. The value obtained for the total magnetization is 0.000 μB/atom. The value obtained for the formation energy is -1.24 eV/f.u.

---

Volume? In order: 20.87 25.26 23.24 Å³ per atom.